# 1
Compound: Cd3SiSb
Source: Alexandria
Functional: PBE
Structure: relaxed

a = 5.1353 Å, b = 5.1353 Å, c = 5.1353 Å
α = 90.00°, β = 90.00°, γ = 90.00°
With the nearest neighbours (Å) after each atom.
Atoms (fractional coordinates):
Cd 0.0000 0.0000 0.5000  2 Si 2.57
Cd 0.0000 0.5000 0.0000  2 Si 2.57
Cd 0.5000 0.0000 0.0000  2 Si 2.57
Si 0.0000 0.0000 0.0000  6 Cd 2.57
Sb 0.5000 0.5000 0.5000  12 Cd 3.63

## Properties
- Polymorph energy (0 for the lowest one): 0 meV per atom
- Symmetry: No. 221



# 2
Compound: Cd2SiSb
Source: Alexandria
Functional: PBE
Structure: relaxed

a = 3.7745 Å, b = 4.3226 Å, c = 11.7689 Å
α = 90.00°, β = 90.00°, γ = 90.00°
With the nearest neighbours (Å) after each atom.
Atoms (fractional coordinates):
Cd 0.0000 0.0000 0.0000  4 Si 2.90, 2 Cd 3.02
Cd 0.0000 0.5000 0.1795  2 Cd 3.02, 4 Sb 3.17, 2 Si 3.18
Cd 0.5000 0.0000 0.6795  2 Cd 3.02, 4 Sb 3.17, 2 Si 3.18
Cd 0.5000 0.5000 0.5000  4 Si 2.90, 2 Cd 3.02
Si 0.0000 0.0000 0.4619  2 Sb 2.74, 4 Cd 2.90
Si 0.5000 0.5000 0.9619  2 Sb 2.74, 4 Cd 2.90
Sb 0.0000 0.5000 0.7932  2 Si 2.74
Sb 0.5000 0.0000 0.2932  2 Si 2.74

## Properties
- Polymorph energy (0 for the lowest one): 7 meV per atom
- Symmetry: No. 44



# 3
Compound: CdSi2Sb
Source: Alexandria
Functional: PBE
Structure: relaxed

a = 3.8161 Å, b = 3.8161 Å, c = 20.6737 Å
α = 90.00°, β = 90.00°, γ = 120.00°
With the nearest neighbours (Å) after each atom.
Atoms (fractional coordinates):
Cd 0.0000 0.0000 0.0000  3 Si 2.88, 3 Sb 3.10
Cd 0.3333 0.6667 0.6667  3 Si 2.88, 3 Sb 3.10
Cd 0.6667 0.3333 0.3333  3 Si 2.88, 3 Sb 3.10
Si 0.0000 0.0000 0.4744  3 Si 2.44
Si 0.0000 0.0000 0.7565  3 Si 2.44
Si 0.3333 0.6667 0.1411  3 Si 2.44
Si 0.3333 0.6667 0.4232  3 Si 2.44
Si 0.6667 0.3333 0.0899  3 Si 2.44
Si 0.6667 0.3333 0.8078  3 Si 2.44
Sb 0.0000 0.0000 0.2278  3 Si 2.84, 3 Cd 3.10
Sb 0.3333 0.6667 0.8944  3 Si 2.84, 3 Cd 3.10
Sb 0.6667 0.3333 0.5611  3 Si 2.84, 3 Cd 3.10

## Properties
- Polymorph energy (0 for the lowest one): 0 meV per atom
- Symmetry: No. 160



# 4
Compound: CdSiSb2
Source: Alexandria
Functional: PBE
Structure: relaxed

a = 3.9390 Å, b = 3.9390 Å, c = 22.3053 Å
α = 90.00°, β = 90.00°, γ = 120.00°
With the nearest neighbours (Å) after each atom.
Atoms (fractional coordinates):
Cd 0.0000 0.0000 0.0000  6 Sb 3.10
Cd 0.3333 0.6667 0.6667  6 Sb 3.10
Cd 0.6667 0.3333 0.3333  6 Sb 3.10
Si 0.0000 0.0000 0.5000  6 Sb 2.79
Si 0.3333 0.6667 0.1667  6 Sb 2.79
Si 0.6667 0.3333 0.8333  6 Sb 2.79
Sb 0.0000 0.0000 0.2389  3 Si 2.79, 3 Cd 3.10
Sb 0.0000 0.0000 0.7611  3 Si 2.79, 3 Cd 3.10
Sb 0.3333 0.6667 0.4278  3 Si 2.79, 3 Cd 3.10
Sb 0.3333 0.6667 0.9056  3 Si 2.79, 3 Cd 3.10
Sb 0.6667 0.3333 0.0944  3 Si 2.79, 3 Cd 3.10
Sb 0.6667 0.3333 0.5722  3 Si 2.79, 3 Cd 3.10

## Properties
- Symmetry: No. 166



# 5
Compound: CdSi2Sb
Source: Alexandria
Functional: PBE
Structure: relaxed

a = 6.1473 Å, b = 6.1473 Å, c = 11.7837 Å
α = 90.00°, β = 90.00°, γ = 90.00°
With the nearest neighbours (Å) after each atom.
Atoms (fractional coordinates):
Cd 0.0000 0.0000 0.0000  4 Si 2.61
Cd 0.0000 0.5000 0.2500  4 Si 2.61
Cd 0.5000 0.0000 0.7500  4 Si 2.61
Cd 0.5000 0.5000 0.5000  4 Si 2.61
Si 0.2464 0.2500 0.1250  2 Cd 2.61, 2 Sb 2.64
Si 0.2500 0.7464 0.3750  2 Cd 2.61, 2 Sb 2.64
Si 0.2500 0.7536 0.8750  2 Cd 2.61, 2 Sb 2.64
Si 0.2536 0.2500 0.6250  2 Cd 2.61, 2 Sb 2.64
Si 0.7464 0.7500 0.6250  2 Cd 2.61, 2 Sb 2.64
Si 0.7500 0.2464 0.8750  2 Cd 2.61, 2 Sb 2.64
Si 0.7500 0.2536 0.3750  2 Cd 2.61, 2 Sb 2.64
Si 0.7536 0.7500 0.1250  2 Cd 2.61, 2 Sb 2.64
Sb 0.0000 0.0000 0.5000  4 Si 2.64
Sb 0.0000 0.5000 0.7500  4 Si 2.64
Sb 0.5000 0.0000 0.2500  4 Si 2.64
Sb 0.5000 0.5000 0.0000  4 Si 2.64

## Properties
- Polymorph energy (0 for the lowest one): 148 meV per atom
- Symmetry: No. 122



# 6
Compound: CdSiSb4
Source: Alexandria
Functional: PBE
Structure: relaxed

a = 6.2044 Å, b = 6.2044 Å, c = 6.2044 Å
α = 60.00°, β = 60.00°, γ = 60.00°
With the nearest neighbours (Å) after each atom.
Atoms (fractional coordinates):
Cd 0.0000 0.0000 0.0000  12 Sb 3.64, 4 Si 3.80
Si 0.2500 0.2500 0.2500  12 Sb 3.64, 4 Cd 3.80
Sb 0.1261 0.6246 0.6246  6 Sb 3.09-3.11
Sb 0.6246 0.1261 0.6246  6 Sb 3.09-3.11
Sb 0.6246 0.6246 0.1261  6 Sb 3.09-3.11
Sb 0.6246 0.6246 0.6246  6 Sb 3.09-3.11

## Properties
- Symmetry: No. 216



Calculated ΔE_f (raw), 0.441; 0.240; 0.246; 0.148; 0.394; 0.573 eV/atom (same order as the records).